# LiHgSb2 meta-GGA SCAN PBEsol geometry
data_LiHgSb2
_symmetry_space_group_name_H-M 'P 1'
_symmetry_Int_Tables_number 1
_cell_length_a 4.0075
_cell_length_b 4.3121
_cell_length_c 6.3712
_cell_angle_alpha 109.78
_cell_angle_beta 108.33
_cell_angle_gamma 90.00
loop_
_symmetry_equiv_pos_as_xyz
'x,y,z'
loop_
_atom_site_label
_atom_site_fract_x
_atom_site_fract_y
_atom_site_fract_z
Sb1 0.0478 0.0478 0.0955
Sb2 0.7376 0.2376 0.4753
Hg1 0.4553 0.4553 0.9107
Li1 0.2593 0.7593 0.5185
# **Total energy**: -145.6 eV/cell
# **E_form (uncorrected)**: -0.135 eV per atom

***

# SiTcW2 meta-GGA SCAN PBEsol geometry
data_SiTcW2
_symmetry_space_group_name_H-M 'P 1'
_symmetry_Int_Tables_number 1
_cell_length_a 2.7921
_cell_length_b 4.0508
_cell_length_c 5.1275
_cell_angle_alpha 90.00
_cell_angle_beta 93.11
_cell_angle_gamma 90.00
loop_
_symmetry_equiv_pos_as_xyz
'x,y,z'
loop_
_atom_site_label
_atom_site_fract_x
_atom_site_fract_y
_atom_site_fract_z
Si1 0.5000 0.5000 0.0000
Tc1 0.5000 0.5000 0.5000
W1 0.0266 0.0000 0.7547
W2 0.9734 0.0000 0.2453
# **Total energy**: -184.3 eV/cell
# **E_form (uncorrected)**: 0.026 eV per atom

***

# SrHfPtW2 meta-GGA SCAN PBEsol geometry
data_SrHfPtW2
_symmetry_space_group_name_H-M 'P 1'
_symmetry_Int_Tables_number 1
_cell_length_a 4.8308
_cell_length_b 4.8308
_cell_length_c 5.0693
_cell_angle_alpha 90.00
_cell_angle_beta 90.00
_cell_angle_gamma 90.00
loop_
_symmetry_equiv_pos_as_xyz
'x,y,z'
loop_
_atom_site_label
_atom_site_fract_x
_atom_site_fract_y
_atom_site_fract_z
Sr1 0.5000 0.5000 0.5000
Hf1 0.0000 0.0000 0.0000
W1 0.0000 0.5000 0.0000
W2 0.5000 0.0000 0.0000
Pt1 0.0000 0.0000 0.5000
# **Total energy**: -287.3 eV/cell
# **Energy of formation from the pure elements**: 1447 meV/atom

***

# Re2SbSe meta-GGA SCAN PBEsol geometry
data_Re2SbSe
_symmetry_space_group_name_H-M 'P 1'
_symmetry_Int_Tables_number 1
_cell_length_a 3.1140
_cell_length_b 4.4063
_cell_length_c 5.5095
_cell_angle_alpha 113.57
_cell_angle_beta 106.42
_cell_angle_gamma 90.00
loop_
_symmetry_equiv_pos_as_xyz
'x,y,z'
loop_
_atom_site_label
_atom_site_fract_x
_atom_site_fract_y
_atom_site_fract_z
Re1 0.9810 0.9810 0.9619
Re2 0.7446 0.2446 0.4892
Sb1 0.5036 0.5036 0.0072
Se1 0.2708 0.7708 0.5417
# **Energy above the lowest structure with this stoichiometry**: 421 meV/atom
# **Total energy**: -196.1 eV/cell
# **E_form (uncorrected)**: 0.867 eV per atom

***

# TlCdNi2 meta-GGA SCAN PBEsol geometry
data_TlCdNi2
_symmetry_space_group_name_H-M 'P 1'
_symmetry_Int_Tables_number 1
_cell_length_a 3.1468
_cell_length_b 3.1468
_cell_length_c 6.1207
_cell_angle_alpha 90.00
_cell_angle_beta 90.00
_cell_angle_gamma 90.00
loop_
_symmetry_equiv_pos_as_xyz
'x,y,z'
loop_
_atom_site_label
_atom_site_fract_x
_atom_site_fract_y
_atom_site_fract_z
Cd1 0.5000 0.5000 0.5000
Ni1 0.0000 0.0000 0.7502
Ni2 0.0000 0.0000 0.2498
Tl1 0.5000 0.5000 0.0000
# **Total energy**: -134.1 eV/cell
# **Energy of formation from the pure elements**: 265 meV/atom

***

# TlAgTe meta-GGA SCAN PBEsol geometry
data_TlAgTe
_symmetry_space_group_name_H-M 'P 1'
_symmetry_Int_Tables_number 1
_cell_length_a 4.8843
_cell_length_b 4.8843
_cell_length_c 4.8843
_cell_angle_alpha 60.00
_cell_angle_beta 60.00
_cell_angle_gamma 60.00
loop_
_symmetry_equiv_pos_as_xyz
'x,y,z'
loop_
_atom_site_label
_atom_site_fract_x
_atom_site_fract_y
_atom_site_fract_z
Tl1 0.5000 0.5000 0.5000
Te1 0.0000 0.0000 0.0000
Ag1 0.2500 0.2500 0.2500
# **Energy above the lowest structure with this stoichiometry**: 82 meV/atom
# **Total energy**: -141.4 eV/cell
# **E_form (uncorrected)**: -0.126 eV per atom

***

# CaB12H12 meta-GGA SCAN PBEsol geometry
data_CaB12H12
_symmetry_space_group_name_H-M 'P 1'
_symmetry_Int_Tables_number 1
_cell_length_a 6.8366
_cell_length_b 7.0296
_cell_length_c 10.5173
_cell_angle_alpha 90.29
_cell_angle_beta 90.60
_cell_angle_gamma 60.90
loop_
_symmetry_equiv_pos_as_xyz
'x,y,z'
loop_
_atom_site_label
_atom_site_fract_x
_atom_site_fract_y
_atom_site_fract_z
Ca1 0.1701 0.6598 0.2500
Ca2 0.8299 0.3402 0.7500
B1 0.9220 0.4699 0.1621
B2 0.6081 0.4699 0.3379
B3 0.0780 0.5301 0.8379
B4 0.3919 0.5301 0.6621
B5 0.0689 0.1817 0.1604
B6 0.7494 0.1817 0.3396
B7 0.9311 0.8183 0.8396
B8 0.2506 0.8183 0.6604
B9 0.6348 0.5602 0.1855
B10 0.8050 0.5602 0.3145
B11 0.3652 0.4398 0.8145
B12 0.1950 0.4398 0.6855
B13 0.8682 0.0946 0.1860
B14 0.0372 0.0946 0.3140
B15 0.1318 0.9054 0.8140
B16 0.9628 0.9054 0.6860
B17 0.7979 0.3266 0.0914
B18 0.8755 0.3266 0.4086
B19 0.2021 0.6734 0.9086
B20 0.1245 0.6734 0.5914
B21 0.6032 0.3263 0.2004
B22 0.0705 0.3263 0.2996
B23 0.3968 0.6737 0.7996
B24 0.9295 0.6737 0.7004
H1 0.9806 0.5746 0.0968
H2 0.4448 0.5746 0.4032
H3 0.0194 0.4254 0.9032
H4 0.5552 0.4254 0.5968
H5 0.2328 0.0808 0.0970
H6 0.6863 0.0808 0.4030
H7 0.7672 0.9192 0.9030
H8 0.3137 0.9192 0.5970
H9 0.4878 0.7285 0.1414
H10 0.7837 0.7285 0.3586
H11 0.5122 0.2715 0.8586
H12 0.2163 0.2715 0.6414
H13 0.8814 0.9324 0.1361
H14 0.1862 0.9324 0.3639
H15 0.1186 0.0676 0.8639
H16 0.8138 0.0676 0.6361
H17 0.7655 0.3259 0.9784
H18 0.9086 0.3259 0.5216
H19 0.2345 0.6741 0.0216
H20 0.0914 0.6741 0.4784
H21 0.4369 0.3234 0.1616
H22 0.2396 0.3234 0.3384
H23 0.5631 0.6766 0.8384
H24 0.7604 0.6766 0.6616
# **Total energy**: -299.5 eV/cell

***

# In2NiPt meta-GGA SCAN PBEsol geometry
data_In2NiPt
_symmetry_space_group_name_H-M 'P 1'
_symmetry_Int_Tables_number 1
_cell_length_a 3.1947
_cell_length_b 3.1947
_cell_length_c 6.3475
_cell_angle_alpha 90.00
_cell_angle_beta 90.00
_cell_angle_gamma 90.00
loop_
_symmetry_equiv_pos_as_xyz
'x,y,z'
loop_
_atom_site_label
_atom_site_fract_x
_atom_site_fract_y
_atom_site_fract_z
In1 0.0000 0.0000 0.7640
In2 0.0000 0.0000 0.2360
Ni1 0.5000 0.5000 0.0000
Pt1 0.5000 0.5000 0.5000
# **Total energy**: -154.0 eV/cell
# **Energy of formation from the pure elements**: -219 meV/atom

***

# LiSiAsOs2 meta-GGA SCAN PBEsol geometry
data_LiSiAsOs2
_symmetry_space_group_name_H-M 'P 1'
_symmetry_Int_Tables_number 1
_cell_length_a 4.2118
_cell_length_b 4.4140
_cell_length_c 4.4140
_cell_angle_alpha 90.00
_cell_angle_beta 90.00
_cell_angle_gamma 90.00
loop_
_symmetry_equiv_pos_as_xyz
'x,y,z'
loop_
_atom_site_label
_atom_site_fract_x
_atom_site_fract_y
_atom_site_fract_z
As1 0.5000 0.5000 0.5000
Os1 0.0000 0.0000 0.5000
Os2 0.0000 0.5000 0.0000
Si1 0.0000 0.0000 0.0000
Li1 0.5000 0.0000 0.0000
# **Total energy**: -171.8 eV/cell
# **E_form (uncorrected)**: 0.910 eV per atom

***

# BaTiGe2 meta-GGA SCAN PBEsol geometry
data_BaTiGe2
_symmetry_space_group_name_H-M 'P 1'
_symmetry_Int_Tables_number 1
_cell_length_a 5.0455
_cell_length_b 5.0455
_cell_length_c 5.0455
_cell_angle_alpha 60.00
_cell_angle_beta 60.00
_cell_angle_gamma 60.00
loop_
_symmetry_equiv_pos_as_xyz
'x,y,z'
loop_
_atom_site_label
_atom_site_fract_x
_atom_site_fract_y
_atom_site_fract_z
Ge1 0.2500 0.2500 0.2500
Ge2 0.7500 0.7500 0.7500
Ba1 0.5000 0.5000 0.5000
Ti1 0.0000 0.0000 0.0000
# **Total energy**: -93.3 eV/cell
# **Energy of formation from the pure elements**: 103 meV/atom

***

# CuPtAu2 meta-GGA SCAN PBEsol geometry
data_CuPtAu2
_symmetry_space_group_name_H-M 'P 1'
_symmetry_Int_Tables_number 1
_cell_length_a 2.8393
_cell_length_b 4.7803
_cell_length_c 4.7976
_cell_angle_alpha 101.49
_cell_angle_beta 90.00
_cell_angle_gamma 107.28
loop_
_symmetry_equiv_pos_as_xyz
'x,y,z'
loop_
_atom_site_label
_atom_site_fract_x
_atom_site_fract_y
_atom_site_fract_z
Au1 0.7552 0.5104 0.7562
Au2 0.2448 0.4896 0.2438
Cu1 0.5000 0.0000 0.0000
Pt1 0.0000 0.0000 0.5000
# **Energy above the lowest structure with this stoichiometry**: 63 meV/atom
# **Total energy**: -223.7 eV/cell
# **Energy of formation from the pure elements**: 8 meV/atom

***

# CaCdAu meta-GGA SCAN PBEsol geometry
data_CaCdAu
_symmetry_space_group_name_H-M 'P 1'
_symmetry_Int_Tables_number 1
_cell_length_a 4.2595
_cell_length_b 7.2833
_cell_length_c 8.7922
_cell_angle_alpha 90.00
_cell_angle_beta 90.00
_cell_angle_gamma 90.00
loop_
_symmetry_equiv_pos_as_xyz
'x,y,z'
loop_
_atom_site_label
_atom_site_fract_x
_atom_site_fract_y
_atom_site_fract_z
Au1 0.7500 0.2520 0.8692
Au2 0.2500 0.2480 0.3692
Au3 0.2500 0.7480 0.1308
Au4 0.7500 0.7520 0.6308
Ca1 0.7500 0.4543 0.1807
Ca2 0.2500 0.0457 0.6807
Ca3 0.2500 0.5457 0.8193
Ca4 0.7500 0.9543 0.3193
Cd1 0.7500 0.3609 0.5604
Cd2 0.2500 0.1391 0.0604
Cd3 0.2500 0.6391 0.4396
Cd4 0.7500 0.8609 0.9396
# **Total energy**: -446.1 eV/cell
# **Energy of formation from the pure elements**: -765 meV/atom

***

Number 7 is which compound?
CaB12H12

***

Which value of total energy does entry 2 give?
-184.3 eV/cell

***

Number 1 is which compound?
LiHgSb2